1.
Density functional theory data (GGA-PBE) for a geometry-optimized Pr3Ni8Pt structure.

## Properties
raw total energy: -5.805 eV per atom
mass density: 9.536 g/cm3
space-group type: R-3m
crystal system: trigonal
energy of formation from the pure elements: -4.74 eV per formula unit

Cell and atoms, written as CIF:
```
data_Pr3Ni8Pt
_chemical_formula_sum 'Pr3 Ni8 Pt1'
_cell_length_a 8.933
_cell_length_b 8.933
_cell_length_c 8.933
_cell_angle_alpha 33.11
_cell_angle_beta 33.11
_cell_angle_gamma 33.11
_symmetry_space_group_name_H-M 'P 1'
_symmetry_Int_Tables_number 1
loop_
_symmetry_equiv_pos_as_xyz
'x,y,z'
loop_
_atom_site_label
_atom_site_type_symbol
_atom_site_fract_x
_atom_site_fract_y
_atom_site_fract_z
_atom_site_occupancy
Ni1 Ni 0.579 0.579 0.076 1
Ni2 Ni 0.579 0.076 0.579 1
Ni3 Ni 0.667 0.667 0.667 1
Ni4 Ni 0.076 0.579 0.579 1
Ni5 Ni 0.924 0.421 0.421 1
Pr1 Pr 0.000 0.000 0.000 1
Pr2 Pr 0.136 0.136 0.136 1
Ni6 Ni 0.421 0.421 0.924 1
Pt1 Pt 0.500 0.500 0.500 1
Pr3 Pr 0.864 0.864 0.864 1
Ni7 Ni 0.333 0.333 0.333 1
Ni8 Ni 0.421 0.924 0.421 1
```

---

2.
Density functional theory data (GGA-PBE) for a geometry-optimized TaFeSiHg structure.

## Properties
raw total energy: -6.036 eV per atom
mass density: 12.134 g/cm3
space-group type: F-43m
crystal system: cubic

Cell and atoms, written as CIF:
```
data_TaFeSiHg
_chemical_formula_sum 'Ta1 Fe1 Si1 Hg1'
_cell_length_a 4.483
_cell_length_b 4.483
_cell_length_c 4.483
_cell_angle_alpha 60.00
_cell_angle_beta 60.00
_cell_angle_gamma 60.00
_symmetry_space_group_name_H-M 'P 1'
_symmetry_Int_Tables_number 1
loop_
_symmetry_equiv_pos_as_xyz
'x,y,z'
loop_
_atom_site_label
_atom_site_type_symbol
_atom_site_fract_x
_atom_site_fract_y
_atom_site_fract_z
_atom_site_occupancy
Fe1 Fe 0.750 0.750 0.750 1
Si1 Si 0.000 0.000 0.000 1
Hg1 Hg 0.500 0.500 0.500 1
Ta1 Ta 0.250 0.250 0.250 1
```

---

3.
Density functional theory data (GGA-PBE) for a geometry-optimized Ni5As2 structure.

## Properties
raw total energy: -5.562 eV per atom
mass density: 8.857 g/cm3
space-group type: P6_3cm
crystal system: hexagonal

Cell and atoms, written as CIF:
```
data_Ni5As2
_chemical_formula_sum 'Ni30 As12'
_cell_length_a 6.812
_cell_length_b 6.812
_cell_length_c 12.410
_cell_angle_alpha 90.00
_cell_angle_beta 90.00
_cell_angle_gamma 120.00
_symmetry_space_group_name_H-M 'P 1'
_symmetry_Int_Tables_number 1
loop_
_symmetry_equiv_pos_as_xyz
'x,y,z'
loop_
_atom_site_label
_atom_site_type_symbol
_atom_site_fract_x
_atom_site_fract_y
_atom_site_fract_z
_atom_site_occupancy
Ni1 Ni 0.000 0.310 0.303 1
Ni2 Ni 0.000 0.000 0.427 1
Ni3 Ni 0.333 0.667 0.568 1
As1 As 0.331 0.000 0.498 1
As2 As 0.000 0.331 0.498 1
Ni4 Ni 0.000 0.690 0.803 1
Ni5 Ni 0.376 0.376 0.194 1
Ni6 Ni 0.375 0.375 0.406 1
As3 As 0.669 0.000 0.998 1
Ni7 Ni 0.310 0.000 0.303 1
Ni8 Ni 0.000 0.254 0.097 1
Ni9 Ni 0.000 0.375 0.906 1
Ni10 Ni 0.690 0.690 0.303 1
As4 As 0.669 0.669 0.498 1
As5 As 0.000 0.000 0.229 1
Ni11 Ni 0.375 0.000 0.906 1
Ni12 Ni 0.376 0.000 0.694 1
As6 As 0.333 0.667 0.772 1
Ni13 Ni 0.254 0.000 0.097 1
Ni14 Ni 0.625 0.625 0.906 1
Ni15 Ni 0.333 0.667 0.068 1
As7 As 0.667 0.333 0.272 1
Ni16 Ni 0.746 0.746 0.097 1
As8 As 0.667 0.333 0.772 1
Ni17 Ni 0.625 0.000 0.406 1
Ni18 Ni 0.667 0.333 0.068 1
Ni19 Ni 0.000 0.624 0.194 1
As9 As 0.000 0.000 0.729 1
Ni20 Ni 0.624 0.000 0.194 1
Ni21 Ni 0.000 0.746 0.597 1
As10 As 0.333 0.667 0.272 1
As11 As 0.000 0.669 0.998 1
Ni22 Ni 0.254 0.254 0.597 1
Ni23 Ni 0.000 0.625 0.406 1
Ni24 Ni 0.000 0.376 0.694 1
Ni25 Ni 0.000 0.000 0.927 1
As12 As 0.331 0.331 0.998 1
Ni26 Ni 0.310 0.310 0.803 1
Ni27 Ni 0.667 0.333 0.568 1
Ni28 Ni 0.746 0.000 0.597 1
Ni29 Ni 0.624 0.624 0.694 1
Ni30 Ni 0.690 0.000 0.803 1
```

---

4.
Density functional theory data (GGA-PBE) for a geometry-optimized HfInCuNi structure.

## Properties
raw total energy: -5.778 eV per atom
mass density: 10.561 g/cm3
space-group type: P-3m1
crystal system: trigonal

Cell and atoms, written as CIF:
```
data_HfInCuNi
_chemical_formula_sum 'Hf2 In2 Cu2 Ni2'
_cell_length_a 4.343
_cell_length_b 4.343
_cell_length_c 8.001
_cell_angle_alpha 90.00
_cell_angle_beta 90.00
_cell_angle_gamma 120.00
_symmetry_space_group_name_H-M 'P 1'
_symmetry_Int_Tables_number 1
loop_
_symmetry_equiv_pos_as_xyz
'x,y,z'
loop_
_atom_site_label
_atom_site_type_symbol
_atom_site_fract_x
_atom_site_fract_y
_atom_site_fract_z
_atom_site_occupancy
Ni1 Ni 0.667 0.333 0.408 1
Ni2 Ni 0.333 0.667 0.592 1
In1 In 0.000 0.000 0.000 1
In2 In 0.000 0.000 0.500 1
Cu1 Cu 0.667 0.333 0.097 1
Hf1 Hf 0.667 0.333 0.740 1
Cu2 Cu 0.333 0.667 0.903 1
Hf2 Hf 0.333 0.667 0.260 1
```

---

5.
Density functional theory data (GGA-PBE) for a geometry-optimized SnIr15 structure.

## Properties
raw total energy: -8.494 eV per atom
mass density: 15.008 g/cm3
space-group type: Pmma
crystal system: orthorhombic

Cell and atoms, written as CIF:
```
data_SnIr15
_chemical_formula_sum 'Sn2 Ir30'
_cell_length_a 3.866
_cell_length_b 3.866
_cell_length_c 44.440
_cell_angle_alpha 90.00
_cell_angle_beta 90.00
_cell_angle_gamma 90.00
_symmetry_space_group_name_H-M 'P 1'
_symmetry_Int_Tables_number 1
loop_
_symmetry_equiv_pos_as_xyz
'x,y,z'
loop_
_atom_site_label
_atom_site_type_symbol
_atom_site_fract_x
_atom_site_fract_y
_atom_site_fract_z
_atom_site_occupancy
Ir1 Ir 0.250 0.500 0.347 1
Ir2 Ir 0.250 0.500 0.260 1
Ir3 Ir 0.250 0.500 0.609 1
Ir4 Ir 0.750 0.500 0.826 1
Ir5 Ir 0.250 0.500 0.783 1
Sn1 Sn 0.250 0.000 0.837 1
Ir6 Ir 0.250 0.000 0.740 1
Ir7 Ir 0.250 0.000 0.566 1
Ir8 Ir 0.750 0.000 0.434 1
Ir9 Ir 0.750 0.500 0.478 1
Ir10 Ir 0.750 0.500 0.653 1
Ir11 Ir 0.750 0.500 0.740 1
Sn2 Sn 0.750 0.000 0.163 1
Ir12 Ir 0.250 0.500 0.522 1
Ir13 Ir 0.250 0.000 0.478 1
Ir14 Ir 0.750 0.000 0.522 1
Ir15 Ir 0.750 0.500 0.566 1
Ir16 Ir 0.750 0.000 0.609 1
Ir17 Ir 0.750 0.500 0.391 1
Ir18 Ir 0.750 0.000 0.260 1
Ir19 Ir 0.250 0.500 0.434 1
Ir20 Ir 0.250 0.500 0.697 1
Ir21 Ir 0.250 0.500 0.174 1
Ir22 Ir 0.250 0.000 0.391 1
Ir23 Ir 0.750 0.000 0.697 1
Ir24 Ir 0.750 0.000 0.783 1
Ir25 Ir 0.750 0.500 0.303 1
Ir26 Ir 0.250 0.000 0.303 1
Ir27 Ir 0.750 0.000 0.347 1
Ir28 Ir 0.750 0.500 0.217 1
Ir29 Ir 0.250 0.000 0.217 1
Ir30 Ir 0.250 0.000 0.653 1
```

---

6.
Density functional theory data (GGA-PBE) for a geometry-optimized LiNdPt structure.

## Properties
raw total energy: -4.885 eV per atom
mass density: 7.718 g/cm3
space-group type: F-43m
crystal system: cubic

Cell and atoms, written as CIF:
```
data_LiNdPt
_chemical_formula_sum 'Li1 Nd1 Pt1'
_cell_length_a 4.723
_cell_length_b 4.723
_cell_length_c 4.723
_cell_angle_alpha 60.00
_cell_angle_beta 60.00
_cell_angle_gamma 60.00
_symmetry_space_group_name_H-M 'P 1'
_symmetry_Int_Tables_number 1
loop_
_symmetry_equiv_pos_as_xyz
'x,y,z'
loop_
_atom_site_label
_atom_site_type_symbol
_atom_site_fract_x
_atom_site_fract_y
_atom_site_fract_z
_atom_site_occupancy
Pt1 Pt 0.000 0.000 0.000 1
Li1 Li 0.250 0.250 0.250 1
Nd1 Nd 0.750 0.750 0.750 1
```

---

7.
Density functional theory data (GGA-PBE) for a geometry-optimized RbTbCu3Te4 structure.

## Properties
raw total energy: -3.528 eV per atom
mass density: 4.837 g/cm3
space-group type: P-43m
crystal system: cubic

Cell and atoms, written as CIF:
```
data_RbTbCu3Te4
_chemical_formula_sum 'Rb1 Tb1 Cu3 Te4'
_cell_length_a 6.872
_cell_length_b 6.872
_cell_length_c 6.872
_cell_angle_alpha 90.00
_cell_angle_beta 90.00
_cell_angle_gamma 90.00
_symmetry_space_group_name_H-M 'P 1'
_symmetry_Int_Tables_number 1
loop_
_symmetry_equiv_pos_as_xyz
'x,y,z'
loop_
_atom_site_label
_atom_site_type_symbol
_atom_site_fract_x
_atom_site_fract_y
_atom_site_fract_z
_atom_site_occupancy
Te1 Te 0.266 0.734 0.734 1
Tb1 Tb 0.500 0.500 0.500 1
Te2 Te 0.734 0.734 0.266 1
Rb1 Rb 0.000 0.000 0.000 1
Te3 Te 0.734 0.266 0.734 1
Cu1 Cu 0.500 0.000 0.500 1
Cu2 Cu 0.000 0.500 0.500 1
Cu3 Cu 0.500 0.500 0.000 1
Te4 Te 0.266 0.266 0.266 1
```

---

8.
Density functional theory data (GGA-PBE) for a geometry-optimized SmCoP2Pd structure.

## Properties
raw total energy: -6.442 eV per atom
mass density: 8.014 g/cm3
space-group type: I-4m2
crystal system: tetragonal

Cell and atoms, written as CIF:
```
data_SmCoP2Pd
_chemical_formula_sum 'Sm1 Co1 P2 Pd1'
_cell_length_a 5.614
_cell_length_b 5.614
_cell_length_c 5.614
_cell_angle_alpha 138.04
_cell_angle_beta 138.04
_cell_angle_gamma 60.84
_symmetry_space_group_name_H-M 'P 1'
_symmetry_Int_Tables_number 1
loop_
_symmetry_equiv_pos_as_xyz
'x,y,z'
loop_
_atom_site_label
_atom_site_type_symbol
_atom_site_fract_x
_atom_site_fract_y
_atom_site_fract_z
_atom_site_occupancy
Pd1 Pd 0.500 0.500 0.000 1
P1 P 0.869 0.369 0.500 1
Sm1 Sm 0.250 0.750 0.500 1
P2 P 0.631 0.131 0.500 1
Co1 Co 0.000 0.000 0.000 1
```

---

9.
Density functional theory data (GGA-PBE) for a geometry-optimized DyTm2Al3Si2Pt structure.

## Properties
raw total energy: -5.510 eV per atom
mass density: 8.070 g/cm3
space-group type: Amm2
crystal system: orthorhombic

Cell and atoms, written as CIF:
```
data_DyTm2Al3Si2Pt
_chemical_formula_sum 'Dy1 Tm2 Al3 Si2 Pt1'
_cell_length_a 4.202
_cell_length_b 6.863
_cell_length_c 6.863
_cell_angle_alpha 120.05
_cell_angle_beta 90.00
_cell_angle_gamma 90.00
_symmetry_space_group_name_H-M 'P 1'
_symmetry_Int_Tables_number 1
loop_
_symmetry_equiv_pos_as_xyz
'x,y,z'
loop_
_atom_site_label
_atom_site_type_symbol
_atom_site_fract_x
_atom_site_fract_y
_atom_site_fract_z
_atom_site_occupancy
Al1 Al 0.500 0.001 0.762 1
Dy1 Dy 0.000 0.582 0.582 1
Tm1 Tm 0.000 0.417 0.999 1
Tm2 Tm 0.000 0.999 0.417 1
Al2 Al 0.500 0.238 0.238 1
Si1 Si 0.500 0.331 0.667 1
Pt1 Pt 0.000 0.003 0.003 1
Al3 Al 0.500 0.762 0.001 1
Si2 Si 0.500 0.667 0.331 1
```

---

10.
Density functional theory data (GGA-PBE) for a geometry-optimized Li2NiAu structure.

## Properties
raw total energy: -3.429 eV per atom
mass density: 8.272 g/cm3
space-group type: F-43m
crystal system: cubic

Cell and atoms, written as CIF:
```
data_Li2NiAu
_chemical_formula_sum 'Li2 Ni1 Au1'
_cell_length_a 4.246
_cell_length_b 4.246
_cell_length_c 4.246
_cell_angle_alpha 60.00
_cell_angle_beta 60.00
_cell_angle_gamma 60.00
_symmetry_space_group_name_H-M 'P 1'
_symmetry_Int_Tables_number 1
loop_
_symmetry_equiv_pos_as_xyz
'x,y,z'
loop_
_atom_site_label
_atom_site_type_symbol
_atom_site_fract_x
_atom_site_fract_y
_atom_site_fract_z
_atom_site_occupancy
Li1 Li 0.000 0.000 0.000 1
Li2 Li 0.250 0.250 0.250 1
Au1 Au 0.500 0.500 0.500 1
Ni1 Ni 0.750 0.750 0.750 1
```

---

11.
Density functional theory data (GGA-PBE) for a geometry-optimized BeTc2As structure.

## Properties
raw total energy: -7.033 eV per atom
mass density: 8.466 g/cm3
space-group type: F-43m
crystal system: cubic

Cell and atoms, written as CIF:
```
data_BeTc2As
_chemical_formula_sum 'Be1 Tc2 As1'
_cell_length_a 4.266
_cell_length_b 4.266
_cell_length_c 4.266
_cell_angle_alpha 60.00
_cell_angle_beta 60.00
_cell_angle_gamma 60.00
_symmetry_space_group_name_H-M 'P 1'
_symmetry_Int_Tables_number 1
loop_
_symmetry_equiv_pos_as_xyz
'x,y,z'
loop_
_atom_site_label
_atom_site_type_symbol
_atom_site_fract_x
_atom_site_fract_y
_atom_site_fract_z
_atom_site_occupancy
As1 As 0.500 0.500 0.500 1
Tc1 Tc 0.750 0.750 0.750 1
Tc2 Tc 0.000 0.000 0.000 1
Be1 Be 0.250 0.250 0.250 1
```

---

12.
Density functional theory data (GGA-PBE) for a geometry-optimized Ba2NbIrS6 structure.

## Properties
raw total energy: -5.833 eV per atom
mass density: 5.548 g/cm3
space-group type: Fm-3m
crystal system: cubic

Cell and atoms, written as CIF:
```
data_Ba2NbIrS6
_chemical_formula_sum 'Ba2 Nb1 Ir1 S6'
_cell_length_a 6.828
_cell_length_b 6.828
_cell_length_c 6.828
_cell_angle_alpha 120.00
_cell_angle_beta 120.00
_cell_angle_gamma 60.00
_symmetry_space_group_name_H-M 'P 1'
_symmetry_Int_Tables_number 1
loop_
_symmetry_equiv_pos_as_xyz
'x,y,z'
loop_
_atom_site_label
_atom_site_type_symbol
_atom_site_fract_x
_atom_site_fract_y
_atom_site_fract_z
_atom_site_occupancy
S1 S 0.253 0.747 0.747 1
Ir1 Ir 0.500 0.500 0.500 1
S2 S 0.747 0.253 0.253 1
Ba1 Ba 0.250 0.250 0.750 1
Ba2 Ba 0.750 0.750 0.250 1
S3 S 0.253 0.253 0.253 1
S4 S 0.253 0.747 0.253 1
S5 S 0.747 0.747 0.747 1
Nb1 Nb 0.000 0.000 0.000 1
S6 S 0.747 0.253 0.747 1
```

---

Look up the mass density of the sixth one. 7.718 g/cm3